1.
! Cs2AsRh (PBE, optimized geometry); values from VASP
&SYSTEM
  ibrav = 0, nat = 8, ntyp = 3
/
ATOMIC_SPECIES
Cs 132.91 Cs.upf
As 74.92 As.upf
Rh 102.91 Rh.upf
ATOMIC_POSITIONS crystal
Cs 0.797 0.125 0.250
Cs 0.953 0.625 0.250
Cs 0.375 0.203 0.750
Cs 0.875 0.047 0.750
As 0.500 0.500 0.000
As 0.250 0.750 0.500
Rh 0.000 0.000 0.000
Rh 0.750 0.250 0.500
CELL_PARAMETERS angstrom
12.878 0.000 0.000
0.000 12.878 0.000
6.439 6.439 2.335
! Energy relative to the elements: -0.138 eV per atom

---

2.
! Cs3AsRh (PBE, optimized geometry); values from VASP
&SYSTEM
  ibrav = 0, nat = 5, ntyp = 3
/
ATOMIC_SPECIES
Cs 132.91 Cs.upf
As 74.92 As.upf
Rh 102.91 Rh.upf
ATOMIC_POSITIONS crystal
Cs 0.000 0.500 0.000
Cs 0.000 0.000 0.500
Cs 0.500 0.000 0.000
As 0.500 0.500 0.500
Rh 0.000 0.000 0.000
CELL_PARAMETERS angstrom
-5.711 -1.409 -0.763
0.583 -4.459 3.868
-1.493 3.649 4.432
! Energy relative to the elements: 0.443 eV per atom

---

3.
! CsAs2Rh3 (PBE, optimized geometry); values from VASP
&SYSTEM
  ibrav = 0, nat = 12, ntyp = 3
/
ATOMIC_SPECIES
Cs 132.91 Cs.upf
As 74.92 As.upf
Rh 102.91 Rh.upf
ATOMIC_POSITIONS crystal
Cs 0.853 0.706 0.942
Cs 0.147 0.294 0.058
As 0.475 0.949 0.761
As 0.525 0.051 0.239
As 0.817 0.634 0.374
As 0.183 0.366 0.626
Rh 0.317 0.635 0.555
Rh 0.958 0.915 0.603
Rh 0.588 0.176 0.638
Rh 0.412 0.824 0.362
Rh 0.042 0.085 0.397
Rh 0.683 0.365 0.445
CELL_PARAMETERS angstrom
3.972 0.000 0.000
-1.986 7.172 -3.161
0.000 0.163 9.419
! Energy relative to the elements: -0.453 eV per atom

---

4.
! Cs2AsRh (PBE, optimized geometry); values from VASP
&SYSTEM
  ibrav = 0, nat = 4, ntyp = 3
/
ATOMIC_SPECIES
Cs 132.91 Cs.upf
As 74.92 As.upf
Rh 102.91 Rh.upf
ATOMIC_POSITIONS crystal
Cs 0.250 0.250 0.250
Cs 0.750 0.750 0.750
As 0.000 0.000 0.000
Rh 0.500 0.500 0.500
CELL_PARAMETERS angstrom
-5.431 2.012 1.131
-1.992 0.156 5.553
-0.718 5.181 2.732
! Energy relative to the elements: 0.806 eV per atom